# 1
Computed, not measured: a PBEsol-optimized structure of LaNb2Cr at the meta-GGA SCAN level of DFT.

a b c (Å): 4.6633 4.6633 4.6633
angles (deg): 60.00 60.00 60.00
Element x y z (fractional)
Cr: 0.0000 0.0000 0.0000
Nb: 0.2500 0.2500 0.2500
Nb: 0.7500 0.7500 0.7500
La: 0.5000 0.5000 0.5000

Calculated values
Its calculated formation energy is 536.0 meV/atom.

# 2
Computed, not measured: a PBEsol-optimized structure of LaNbCr3 at the meta-GGA SCAN level of DFT.

a b c (Å): 4.4044 4.4044 4.4044
angles (deg): 90.00 90.00 90.00
Element x y z (fractional)
Cr: 0.0000 0.5000 0.0000
Cr: 0.0000 0.0000 0.5000
Cr: 0.5000 0.0000 0.0000
Nb: 0.5000 0.5000 0.5000
La: 0.0000 0.0000 0.0000

Calculated values
Its calculated formation energy is 1912.9 meV/atom. For the offset from the most stable computed form, the calculation gives 5.53 eV per formula unit.

# 3
Computed, not measured: a PBEsol-optimized structure of La3NdCr4O12 at the meta-GGA SCAN level of DFT.

a b c (Å): 5.4515 5.4744 7.7073
angles (deg): 90.00 90.00 90.05
Element x y z (fractional)
La: 0.9932 0.9647 0.0000
La: 0.4936 0.5335 0.5000
La: 0.0074 0.0357 0.5000
Nd: 0.5097 0.4572 0.0000
Cr: 0.0005 0.5005 0.7513
Cr: 0.4995 0.9986 0.2492
Cr: 0.0005 0.5005 0.2487
Cr: 0.4995 0.9986 0.7508
O: 0.2129 0.7869 0.7109
O: 0.2860 0.2860 0.2880
O: 0.7822 0.2175 0.2081
O: 0.7121 0.7121 0.7931
O: 0.7822 0.2175 0.7919
O: 0.7121 0.7121 0.2069
O: 0.2129 0.7869 0.2891
O: 0.2860 0.2860 0.7120
O: 0.4267 0.0186 0.0000
O: 0.0820 0.5125 0.0000
O: 0.5737 0.9865 0.5000
O: 0.9274 0.4878 0.5000

# 4
Computed, not measured: a PBEsol-optimized structure of LaCrNi at the meta-GGA SCAN level of DFT.

a b c (Å): 4.4923 4.4923 4.4923
angles (deg): 60.00 60.00 60.00
Element x y z (fractional)
Cr: 0.0000 0.0000 0.0000
La: 0.5000 0.5000 0.5000
Ni: 0.2500 0.2500 0.2500

Calculated values
Its calculated formation energy is 171.8 meV/atom. For the offset from the most stable computed form, the calculation gives 0.29 eV per formula unit.

# 5
Computed, not measured: a PBEsol-optimized structure of La2CrNi at the meta-GGA SCAN level of DFT.

a b c (Å): 3.5324 5.0333 5.0280
angles (deg): 90.00 90.00 90.00
Element x y z (fractional)
Cr: 0.5000 0.0000 0.5000
La: 0.0000 0.0000 0.0000
La: 0.0000 0.5000 0.5000
Ni: 0.5000 0.5000 0.0000

Calculated values
Its calculated formation energy is 65.1 meV/atom. For the offset from the most stable computed form, the calculation gives 0.04 eV per formula unit.

# 6
Computed, not measured: a PBEsol-optimized structure of LaCrNi at the meta-GGA SCAN level of DFT.

a b c (Å): 4.4033 4.4033 4.4033
angles (deg): 60.00 60.00 60.00
Element x y z (fractional)
Cr: 0.5000 0.5000 0.5000
La: 0.2500 0.2500 0.2500
Ni: 0.0000 0.0000 0.0000

Calculated values
Its calculated formation energy is 897.4 meV/atom. For the offset from the most stable computed form, the calculation gives 2.47 eV per formula unit.

Calculated density (Mg/m³), listed in the same order as above: 8.7, 7.5, 6.9, 6.5, 7.2, 6.9
Calculated total magnetic moment (μB per atom), listed in the same order as above: 0.329, 0.658, 0.600, 1.511, 0.983, 1.166
Calculated E (eV for the cell shown), listed in the same order as above: -125.6, -121.8, -386.6, -77.1, -120.5, -75.0